(1)
## CaAcPmSm (PBE)

Data for crystalline CaAcPmSm at its relaxed geometry.

```
data_CaAcPmSm
_chemical_formula_sum 'Ca1 Ac1 Pm1 Sm1'
_symmetry_space_group_name_H-M 'P 1'
_symmetry_Int_Tables_number 1
_symmetry_space_group_name_Hall 'P 1'
_cell_length_a 6.008
_cell_length_b 6.008
_cell_length_c 6.008
_cell_angle_alpha 60.00
_cell_angle_beta 60.00
_cell_angle_gamma 60.00
loop_
_atom_site_label
_atom_site_fract_x
_atom_site_fract_y
_atom_site_fract_z
_atom_site_occupancy
Ca1 0.000 0.000 0.000 1
Ac1 0.250 0.250 0.250 1
Pm1 0.750 0.750 0.750 1
Sm1 0.500 0.500 0.500 1
```

## Properties
Energy of formation from the pure elements ... 0.47 eV/f.u.
Spin magnetization ... 0.00 Bohr magnetons per cell
Density of states at the Fermi level ... 7.007 states/eV/cell
Mass density ... 6.09 g/cm3
Energy above the lowest structure with this stoichiometry ... 69 meV per atom

(2)
## SrCaAcPm (PBE)

Data for crystalline SrCaAcPm at its relaxed geometry.

```
data_SrCaAcPm
_chemical_formula_sum 'Sr1 Ca1 Ac1 Pm1'
_symmetry_space_group_name_H-M 'P 1'
_symmetry_Int_Tables_number 1
_symmetry_space_group_name_Hall 'P 1'
_cell_length_a 6.216
_cell_length_b 6.216
_cell_length_c 6.216
_cell_angle_alpha 60.00
_cell_angle_beta 60.00
_cell_angle_gamma 60.00
loop_
_atom_site_label
_atom_site_fract_x
_atom_site_fract_y
_atom_site_fract_z
_atom_site_occupancy
Sr1 0.000 0.000 0.000 1
Ca1 0.250 0.250 0.250 1
Ac1 0.750 0.750 0.750 1
Pm1 0.500 0.500 0.500 1
```

## Properties
Energy of formation from the pure elements ... 0.51 eV/f.u.
Spin magnetization ... 0.00 Bohr magnetons per cell
Density of states at the Fermi level ... 3.327 states/eV/cell
Mass density ... 4.89 g/cm3

(3)
## CaAcTbPm (PBE)

Data for crystalline CaAcTbPm at its relaxed geometry.

```
data_CaAcTbPm
_chemical_formula_sum 'Ca1 Ac1 Tb1 Pm1'
_symmetry_space_group_name_H-M 'P 1'
_symmetry_Int_Tables_number 1
_symmetry_space_group_name_Hall 'P 1'
_cell_length_a 5.979
_cell_length_b 5.979
_cell_length_c 5.979
_cell_angle_alpha 60.00
_cell_angle_beta 60.00
_cell_angle_gamma 60.00
loop_
_atom_site_label
_atom_site_fract_x
_atom_site_fract_y
_atom_site_fract_z
_atom_site_occupancy
Ca1 0.000 0.000 0.000 1
Ac1 0.750 0.750 0.750 1
Tb1 0.500 0.500 0.500 1
Pm1 0.250 0.250 0.250 1
```

## Properties
Energy of formation from the pure elements ... 0.45 eV/f.u.
Spin magnetization ... 0.00 Bohr magnetons per cell
Density of states at the Fermi level ... 6.688 states/eV/cell
Mass density ... 6.27 g/cm3

(4)
## CaAc2PmTe5 (PBE)

Data for crystalline CaAc2PmTe5 at its relaxed geometry.

```
data_CaAc2PmTe5
_chemical_formula_sum 'Ca1 Ac2 Pm1 Te5'
_symmetry_space_group_name_H-M 'P 1'
_symmetry_Int_Tables_number 1
_symmetry_space_group_name_Hall 'P 1'
_cell_length_a 5.679
_cell_length_b 5.679
_cell_length_c 11.723
_cell_angle_alpha 90.00
_cell_angle_beta 90.00
_cell_angle_gamma 90.00
loop_
_atom_site_label
_atom_site_fract_x
_atom_site_fract_y
_atom_site_fract_z
_atom_site_occupancy
Ca1 0.000 0.000 0.000 1
Ac1 0.500 0.500 0.303 1
Ac2 0.500 0.500 0.697 1
Pm1 0.000 0.000 0.500 1
Te1 0.000 0.000 0.244 1
Te2 0.000 0.000 0.756 1
Te3 0.000 0.500 0.500 1
Te4 0.500 0.000 0.500 1
Te5 0.500 0.500 0.000 1
```

## Properties
Spin magnetization ... 0.00 Bohr magnetons per cell
Formation energy from raw total energies ... -1.087 eV per atom
Density of states at the Fermi level ... 3.554 states/eV/cell
Mass density ... 5.61 g/cm3

(5)
## CaAc3Pm3Te8 (PBE)

Data for crystalline CaAc3Pm3Te8 at its relaxed geometry.

```
data_CaAc3Pm3Te8
_chemical_formula_sum 'Ca1 Ac3 Pm3 Te8'
_symmetry_space_group_name_H-M 'P 1'
_symmetry_Int_Tables_number 1
_symmetry_space_group_name_Hall 'P 1'
_cell_length_a 9.236
_cell_length_b 9.236
_cell_length_c 9.236
_cell_angle_alpha 59.09
_cell_angle_beta 59.09
_cell_angle_gamma 59.09
loop_
_atom_site_label
_atom_site_fract_x
_atom_site_fract_y
_atom_site_fract_z
_atom_site_occupancy
Ca1 0.000 0.000 0.000 1
Ac1 0.000 0.000 0.500 1
Ac2 0.000 0.500 0.000 1
Ac3 0.500 0.000 0.000 1
Pm1 0.000 0.500 0.500 1
Pm2 0.500 0.000 0.500 1
Pm3 0.500 0.500 0.000 1
Te1 0.249 0.249 0.741 1
Te2 0.249 0.741 0.249 1
Te3 0.256 0.256 0.256 1
Te4 0.259 0.751 0.751 1
Te5 0.741 0.249 0.249 1
Te6 0.744 0.744 0.744 1
Te7 0.751 0.259 0.751 1
Te8 0.751 0.751 0.259 1
```

## Properties
Spin magnetization ... 0.00 Bohr magnetons per cell
Formation energy from raw total energies ... -1.509 eV per atom
Density of states at the Fermi level ... 3.653 states/eV/cell
Mass density ... 6.63 g/cm3

(6)
## CaAc2PmTe4 (PBE)

Data for crystalline CaAc2PmTe4 at its relaxed geometry.

```
data_CaAc2PmTe4
_chemical_formula_sum 'Ca1 Ac2 Pm1 Te4'
_symmetry_space_group_name_H-M 'P 1'
_symmetry_Int_Tables_number 1
_symmetry_space_group_name_Hall 'P 1'
_cell_length_a 8.000
_cell_length_b 4.579
_cell_length_c 8.002
_cell_angle_alpha 90.00
_cell_angle_beta 109.06
_cell_angle_gamma 90.00
loop_
_atom_site_label
_atom_site_fract_x
_atom_site_fract_y
_atom_site_fract_z
_atom_site_occupancy
Ca1 0.000 0.000 0.000 1
Ac1 0.000 0.500 0.500 1
Ac2 0.500 0.000 0.500 1
Pm1 0.500 0.500 0.000 1
Te1 0.242 0.500 0.231 1
Te2 0.254 0.000 0.769 1
Te3 0.746 0.000 0.231 1
Te4 0.758 0.500 0.769 1
```

## Properties
Spin magnetization ... 0.00 Bohr magnetons per cell
Formation energy from raw total energies ... -1.492 eV per atom
Density of states at the Fermi level ... 3.907 states/eV/cell
Mass density ... 6.89 g/cm3

(7)
## CaAc2Pm3Te6 (PBE)

Data for crystalline CaAc2Pm3Te6 at its relaxed geometry.

```
data_CaAc2Pm3Te6
_chemical_formula_sum 'Ca1 Ac2 Pm3 Te6'
_symmetry_space_group_name_H-M 'P 1'
_symmetry_Int_Tables_number 1
_symmetry_space_group_name_Hall 'P 1'
_cell_length_a 10.215
_cell_length_b 10.215
_cell_length_c 9.194
_cell_angle_alpha 103.16
_cell_angle_beta 103.16
_cell_angle_gamma 25.65
loop_
_atom_site_label
_atom_site_fract_x
_atom_site_fract_y
_atom_site_fract_z
_atom_site_occupancy
Ca1 0.000 0.000 0.000 1
Ac1 0.332 0.332 0.665 1
Ac2 0.668 0.668 0.335 1
Pm1 0.000 0.000 0.500 1
Pm2 0.328 0.328 0.167 1
Pm3 0.672 0.672 0.833 1
Te1 0.161 0.161 0.592 1
Te2 0.163 0.163 0.069 1
Te3 0.495 0.495 0.246 1
Te4 0.505 0.505 0.754 1
Te5 0.837 0.837 0.931 1
Te6 0.839 0.839 0.408 1
```

## Properties
Spin magnetization ... 0.00 Bohr magnetons per cell
Formation energy from raw total energies ... -1.465 eV per atom
Density of states at the Fermi level ... 5.600 states/eV/cell
Mass density ... 6.97 g/cm3

(8)
## CaAcPmZn (PBE)

Data for crystalline CaAcPmZn at its relaxed geometry.

```
data_CaAcPmZn
_chemical_formula_sum 'Ca1 Ac1 Pm1 Zn1'
_symmetry_space_group_name_H-M 'P 1'
_symmetry_Int_Tables_number 1
_symmetry_space_group_name_Hall 'P 1'
_cell_length_a 3.731
_cell_length_b 3.731
_cell_length_c 9.536
_cell_angle_alpha 90.00
_cell_angle_beta 90.00
_cell_angle_gamma 90.00
loop_
_atom_site_label
_atom_site_fract_x
_atom_site_fract_y
_atom_site_fract_z
_atom_site_occupancy
Ca1 0.000 0.000 0.000 1
Ac1 0.500 0.500 0.330 1
Pm1 0.000 0.000 0.621 1
Zn1 0.500 0.500 0.803 1
```

## Properties
Energy of formation from the pure elements ... -0.45 eV/f.u.
Spin magnetization ... 0.00 Bohr magnetons per cell
Density of states at the Fermi level ... 5.074 states/eV/cell
Mass density ... 5.97 g/cm3
Energy above the lowest structure with this stoichiometry ... 0 meV per atom